Pr3Tm12Zr | PBE | optimized geometry

```
Pr3Tm12Zr
1.0
-1.222 -2.294 4.220
2.919 -3.813 -1.227
15.341 8.779 9.214
Pr Tm Zr
3 12 1
direct
0.000 0.000 0.248
0.000 0.000 0.752
0.000 0.000 0.500
0.000 0.500 0.115
0.500 0.000 0.885
0.500 0.500 0.755
0.000 0.500 0.628
0.500 0.500 0.500
0.000 0.500 0.372
0.500 0.000 0.628
0.500 0.500 0.000
0.500 0.000 0.372
0.500 0.500 0.245
0.500 0.000 0.115
0.000 0.500 0.885
0.000 0.000 0.000
```

The symmetry is P4/mmm, No. 123. For the total DFT energy (no corrections), the calculation gives -4.744 eV/atom. Its energy of formation from the pure elements is 4 kJ per mole of atoms.